1.
A plane-wave DFT calculation with PBEsol was carried out for a relaxed structure of ZrSiBi2Br.

Calculated values
- Formation energy from raw total energies: 297.2 meV/atom
- Magnetic moment: 0.000 μB per atom

POSCAR file:
```
ZrSiBi2Br
1.0
5.5671 0.0000 0.0000
0.0000 5.5671 0.0000
0.0000 0.0000 5.0724
Zr Si Bi Br
1 1 2 1
Direct
0.0000 0.0000 0.0000
0.0000 0.0000 0.5000
0.0000 0.5000 0.0000
0.5000 0.0000 0.0000
0.5000 0.5000 0.5000
```

---

2.
A plane-wave DFT calculation with PBEsol was carried out for a relaxed structure of LiAgC2O4.

Calculated values
- Formation energy from raw total energies: -1127.3 meV/atom
- Magnetic moment: 0.000 μB per atom
- ΔE to the lowest computed polymorph: 0.14 eV/f.u.

POSCAR file:
```
LiAgC2O4
1.0
3.4156 0.0000 0.0000
0.0000 5.2294 0.0000
-0.1411 0.0000 10.0731
Li Ag C O
2 2 4 8
Direct
0.0000 0.1880 0.0000
0.0000 0.8120 0.5000
0.4772 0.3423 0.3047
0.4772 0.6577 0.8047
0.0158 0.1762 0.7008
0.0158 0.8238 0.2008
0.8090 0.3007 0.5786
0.8090 0.6993 0.0786
0.0235 0.2938 0.8107
0.0235 0.7062 0.3107
0.1671 0.0387 0.1760
0.1671 0.9613 0.6760
0.6826 0.4725 0.0844
0.6826 0.5275 0.5844
0.7845 0.1572 0.4775
0.7845 0.8428 0.9775
```

---

3.
A plane-wave DFT calculation with PBEsol was carried out for a relaxed structure of ZnTe2Os.

Calculated values
- Formation energy from raw total energies: 670.4 meV/atom
- Magnetic moment: 0.000 μB per atom

POSCAR file:
```
ZnTe2Os
1.0
4.8644 0.0000 0.0000
0.0000 4.8644 0.0000
0.0000 0.0000 3.2196
Zn Te Os
1 2 1
Direct
0.0000 0.0000 0.0000
0.0000 0.5000 0.5000
0.5000 0.0000 0.5000
0.5000 0.5000 0.0000
```

---

4.
A plane-wave DFT calculation with PBEsol was carried out for a relaxed structure of YScTe.

Calculated values
- Formation energy from raw total energies: -808.1 meV/atom
- Magnetic moment: 0.000 μB per atom
- ΔE to the lowest computed polymorph: 0.00 eV/f.u.

POSCAR file:
```
YScTe
1.0
3.7428 0.0000 0.0000
0.0000 3.7428 0.0000
0.0000 0.0000 10.5872
Y Sc Te
2 2 2
Direct
0.0000 0.0000 0.0000
0.5000 0.5000 0.5000
0.0000 0.0000 0.3171
0.5000 0.5000 0.8171
0.0000 0.0000 0.6796
0.5000 0.5000 0.1796
```

---

5.
A plane-wave DFT calculation with PBEsol was carried out for a relaxed structure of ZnC3.

Calculated values
- Magnetic moment: 0.000 μB per atom
- ΔE to the lowest computed polymorph: 3.60 eV/f.u.
- ΔH_f (0 K): 2.84 eV per atom

POSCAR file:
```
ZnC3
1.0
2.6230 0.0000 0.0000
0.0000 2.6230 0.0000
0.0000 0.0000 12.4331
Zn C
2 6
Direct
0.0000 0.0000 0.0000
0.5000 0.5000 0.5000
0.0000 0.0000 0.5000
0.0000 0.5000 0.2500
0.0000 0.5000 0.7500
0.5000 0.0000 0.2500
0.5000 0.0000 0.7500
0.5000 0.5000 0.0000
```

---

6.
A plane-wave DFT calculation with PBEsol was carried out for a relaxed structure of HfSc2Ni.

Calculated values
- Magnetic moment: 0.000 μB per atom
- ΔH_f (0 K): 0.16 eV per atom

POSCAR file:
```
HfSc2Ni
1.0
3.0633 0.0000 0.0000
-1.5316 2.6529 0.0000
0.0000 0.0000 29.1681
Hf Sc Ni
3 6 3
Direct
0.0000 0.0000 0.0000
0.3333 0.6667 0.6667
0.6667 0.3333 0.3333
0.0000 0.0000 0.1030
0.0000 0.0000 0.8970
0.3333 0.6667 0.5637
0.3333 0.6667 0.7697
0.6667 0.3333 0.2303
0.6667 0.3333 0.4363
0.0000 0.0000 0.5000
0.3333 0.6667 0.1667
0.6667 0.3333 0.8333
```

---

7.
A plane-wave DFT calculation with PBEsol was carried out for a relaxed structure of CsW3O9.

Calculated values
- Formation energy from raw total energies: -2224.3 meV/atom
- Magnetic moment: 0.000 μB per atom

POSCAR file:
```
CsW3O9
1.0
7.4223 0.0000 0.0000
-3.7111 6.4279 0.0000
0.0000 0.0000 3.8262
Cs W O
1 3 9
Direct
0.0000 0.0000 0.0000
0.0000 0.5000 0.5000
0.5000 0.0000 0.5000
0.5000 0.5000 0.5000
0.0000 0.5000 0.0000
0.2120 0.4239 0.5000
0.2120 0.7880 0.5000
0.4239 0.2120 0.5000
0.5000 0.0000 0.0000
0.5000 0.5000 0.0000
0.5761 0.7880 0.5000
0.7880 0.2120 0.5000
0.7880 0.5761 0.5000
```

---

8.
A plane-wave DFT calculation with PBEsol was carried out for a relaxed structure of InGaO2.

Calculated values
- Formation energy from raw total energies: -1482.9 meV/atom
- Magnetic moment: 0.000 μB per atom

POSCAR file:
```
InGaO2
1.0
2.9933 0.0000 0.0000
-1.4966 2.5922 0.0000
0.0000 0.0000 19.5951
In Ga O
3 3 6
Direct
0.0000 0.0000 0.0000
0.3333 0.6667 0.6667
0.6667 0.3333 0.3333
0.0000 0.0000 0.5000
0.3333 0.6667 0.1667
0.6667 0.3333 0.8333
0.0000 0.0000 0.1149
0.0000 0.0000 0.8851
0.3333 0.6667 0.5518
0.3333 0.6667 0.7816
0.6667 0.3333 0.2184
0.6667 0.3333 0.4482
```

---

9.
A plane-wave DFT calculation with PBEsol was carried out for a relaxed structure of FeRu2Cl.

Calculated values
- Formation energy from raw total energies: 393.9 meV/atom
- Magnetic moment: 0.798 μB per atom
- ΔE to the lowest computed polymorph: 0.31 eV/f.u.

POSCAR file:
```
FeRu2Cl
1.0
2.7841 0.0000 0.0000
0.0000 2.7841 0.0000
0.0000 0.0000 6.9642
Fe Ru Cl
1 2 1
Direct
0.0000 0.0000 0.0000
0.0000 0.0000 0.4952
0.5000 0.5000 0.2609
0.5000 0.5000 0.7698
```

---

10.
A plane-wave DFT calculation with PBEsol was carried out for a relaxed structure of Tm2Ga2Fe15.

Calculated values
- Magnetic moment: 1.379 μB per atom
- ΔH_f (0 K): -0.07 eV per atom

POSCAR file:
```
Tm2Ga2Fe15
1.0
8.1678 0.0000 0.0000
-4.0839 7.0735 0.0000
0.0000 0.0000 8.1924
Tm Ga Fe
4 4 30
Direct
0.0000 0.0000 0.2500
0.0000 0.0000 0.7500
0.3333 0.6667 0.2500
0.6667 0.3333 0.7500
0.3333 0.6667 0.6004
0.3333 0.6667 0.8996
0.6667 0.3333 0.1004
0.6667 0.3333 0.3996
0.0000 0.5000 0.0000
0.0000 0.5000 0.5000
0.0281 0.3586 0.7500
0.0281 0.6694 0.7500
0.1648 0.3296 0.0118
0.1648 0.3296 0.4882
0.1648 0.8352 0.0118
0.1648 0.8352 0.4882
0.3296 0.1648 0.5118
0.3296 0.1648 0.9882
0.3306 0.3586 0.7500
0.3306 0.9719 0.7500
0.3586 0.0281 0.2500
0.3586 0.3306 0.2500
0.5000 0.0000 0.0000
0.5000 0.0000 0.5000
0.5000 0.5000 0.0000
0.5000 0.5000 0.5000
0.6414 0.6694 0.7500
0.6414 0.9719 0.7500
0.6694 0.0281 0.2500
0.6694 0.6414 0.2500
0.6704 0.8352 0.0118
0.6704 0.8352 0.4882
0.8352 0.1648 0.5118
0.8352 0.1648 0.9882
0.8352 0.6704 0.5118
0.8352 0.6704 0.9882
0.9719 0.3306 0.2500
0.9719 0.6414 0.2500
```

---

11.
A plane-wave DFT calculation with PBEsol was carried out for a relaxed structure of Y2ZrP.

Calculated values
- Magnetic moment: 0.001 μB per atom
- ΔH_f (0 K): -0.54 eV per atom

POSCAR file:
```
Y2ZrP
1.0
3.6259 0.0000 0.0000
-1.8130 3.1401 0.0000
0.0000 0.0000 26.2832
Y Zr P
6 3 3
Direct
0.0000 0.0000 0.2315
0.0000 0.0000 0.7685
0.3333 0.6667 0.4351
0.3333 0.6667 0.8982
0.6667 0.3333 0.1018
0.6667 0.3333 0.5649
0.0000 0.0000 0.0000
0.3333 0.6667 0.6667
0.6667 0.3333 0.3333
0.0000 0.0000 0.5000
0.3333 0.6667 0.1667
0.6667 0.3333 0.8333
```

---

12.
A plane-wave DFT calculation with PBEsol was carried out for a relaxed structure of Mn2FeSi.

Calculated values
- Formation energy from raw total energies: -56.3 meV/atom
- Magnetic moment: 0.268 μB per atom

POSCAR file:
```
Mn2FeSi
1.0
2.5080 0.0000 0.0000
-1.2540 2.1720 0.0000
0.0000 0.0000 23.2263
Mn Fe Si
6 3 3
Direct
0.0000 0.0000 0.2493
0.0000 0.0000 0.7507
0.3333 0.6667 0.4174
0.3333 0.6667 0.9160
0.6667 0.3333 0.0840
0.6667 0.3333 0.5826
0.0000 0.0000 0.5000
0.3333 0.6667 0.1667
0.6667 0.3333 0.8333
0.0000 0.0000 0.0000
0.3333 0.6667 0.6667
0.6667 0.3333 0.3333
```

---

13.
A plane-wave DFT calculation with PBEsol was carried out for a relaxed structure of CaScMo2.

Calculated values
- Magnetic moment: 0.000 μB per atom
- ΔE to the lowest computed polymorph: 0.00 eV/f.u.
- ΔH_f (0 K): 0.42 eV per atom

POSCAR file:
```
CaScMo2
1.0
3.3025 0.0000 0.0000
0.0000 4.9524 0.0000
0.0000 0.0000 9.8363
Ca Sc Mo
2 2 4
Direct
0.0000 0.0000 0.0000
0.5000 0.5000 0.0000
0.0000 0.5000 0.3202
0.5000 0.0000 0.3202
0.0000 0.0000 0.5474
0.0000 0.5000 0.7383
0.5000 0.0000 0.7383
0.5000 0.5000 0.5474
```

---

14.
A plane-wave DFT calculation with PBEsol was carried out for a relaxed structure of Ba3BeNb.

Calculated values
- Magnetic moment: 0.900 μB per atom
- ΔH_f (0 K): 1.16 eV per atom

POSCAR file:
```
Ba3BeNb
1.0
5.9858 0.0000 0.0000
0.0000 5.9858 0.0000
0.0000 0.0000 5.9858
Ba Be Nb
3 1 1
Direct
0.0000 0.0000 0.5000
0.0000 0.5000 0.0000
0.5000 0.0000 0.0000
0.0000 0.0000 0.0000
0.5000 0.5000 0.5000
```

---

15.
A plane-wave DFT calculation with PBEsol was carried out for a relaxed structure of Mg2P2O7.

Calculated values
- Formation energy from raw total energies: -2569.3 meV/atom
- Magnetic moment: 0.000 μB per atom

POSCAR file:
```
Mg2P2O7
1.0
3.2318 -4.1563 0.0000
3.2318 4.1563 0.0000
-1.0435 0.0000 4.3863
Mg P O
2 2 7
Direct
0.1880 0.8120 0.0000
0.8120 0.1880 0.0000
0.2789 0.2789 0.5927
0.7211 0.7211 0.4073
0.1178 0.1178 0.2857
0.1197 0.4255 0.7800
0.4255 0.1197 0.7800
0.5000 0.5000 0.5000
0.5745 0.8803 0.2200
0.8803 0.5745 0.2200
0.8822 0.8822 0.7143
```

---

16.
A plane-wave DFT calculation with PBEsol was carried out for a relaxed structure of TlReSi2.

Calculated values
- Formation energy from raw total energies: 727.0 meV/atom
- Magnetic moment: 0.000 μB per atom

POSCAR file:
```
TlReSi2
1.0
5.0876 0.0000 0.0000
0.0000 5.0876 0.0000
0.0000 0.0000 15.2771
Tl Re Si
4 4 8
Direct
0.0000 0.2500 0.3750
0.0000 0.7500 0.6250
0.5000 0.2500 0.1250
0.5000 0.7500 0.8750
0.0000 0.2500 0.8750
0.0000 0.7500 0.1250
0.5000 0.2500 0.6250
0.5000 0.7500 0.3750
0.0000 0.0000 0.0000
0.0000 0.5000 0.0000
0.2500 0.2500 0.7500
0.2500 0.7500 0.2500
0.5000 0.0000 0.5000
0.5000 0.5000 0.5000
0.7500 0.2500 0.7500
0.7500 0.7500 0.2500
```

---

17.
A plane-wave DFT calculation with PBEsol was carried out for a relaxed structure of CuMo2RuCl.

Calculated values
- Formation energy from raw total energies: 2064.3 meV/atom
- Magnetic moment: 0.410 μB per atom

POSCAR file:
```
CuMo2RuCl
1.0
4.5201 0.0000 0.0000
0.0000 4.5201 0.0000
0.0000 0.0000 4.4877
Cu Mo Ru Cl
1 2 1 1
Direct
0.0000 0.0000 0.0000
0.0000 0.5000 0.0000
0.5000 0.0000 0.0000
0.0000 0.0000 0.5000
0.5000 0.5000 0.5000
```

---

18.
A plane-wave DFT calculation with PBEsol was carried out for a relaxed structure of BeSOF2.

Calculated values
- Formation energy from raw total energies: -1316.3 meV/atom
- Magnetic moment: 0.000 μB per atom

POSCAR file:
```
BeSOF2
1.0
3.1073 0.0000 0.0000
0.0000 3.1073 0.0000
0.0000 0.0000 6.0008
Be S O F
1 1 1 2
Direct
0.0000 0.0000 0.0000
0.5000 0.5000 0.5000
0.0000 0.0000 0.5000
0.0000 0.5000 0.0000
0.5000 0.0000 0.0000
```

---

19.
A plane-wave DFT calculation with PBEsol was carried out for a relaxed structure of TiSiH2.

Calculated values
- Magnetic moment: 0.000 μB per atom
- Uncorrected energy: -5.2937 eV per atom

POSCAR file:
```
TiSiH2
1.0
3.5843 0.0000 0.0000
0.0000 3.5843 0.0000
0.0000 0.0000 11.3476
Ti Si H
4 4 8
Direct
0.0000 0.0000 0.0000
0.0000 0.5000 0.2500
0.5000 0.0000 0.7500
0.5000 0.5000 0.5000
0.0000 0.0000 0.5000
0.0000 0.5000 0.7500
0.5000 0.0000 0.2500
0.5000 0.5000 0.0000
0.2158 0.2500 0.1250
0.2500 0.7158 0.3750
0.2500 0.7842 0.8750
0.2842 0.2500 0.6250
0.7158 0.7500 0.6250
0.7500 0.2158 0.8750
0.7500 0.2842 0.3750
0.7842 0.7500 0.1250
```

---

20.
A plane-wave DFT calculation with PBEsol was carried out for a relaxed structure of Sr3LaCl.

Calculated values
- Formation energy from raw total energies: -466.6 meV/atom
- Magnetic moment: 0.266 μB per atom

POSCAR file:
```
Sr3LaCl
1.0
5.8763 0.0000 0.0000
0.0000 5.8763 0.0000
0.0000 0.0000 5.8763
Sr La Cl
3 1 1
Direct
0.0000 0.0000 0.5000
0.0000 0.5000 0.0000
0.5000 0.0000 0.0000
0.5000 0.5000 0.5000
0.0000 0.0000 0.0000
```